Record 1
Material: LiPb2Br5
Method: DFT, PBE
State: optimized geometry

Raw total energy = -3.239 eV per atom
Energy relative to the elements, uncorrected = -1.03 eV per atom

POSCAR file:
```
LiPb2Br5
1.0
5.806 -5.814 0.000
5.806 5.814 0.000
-5.788 0.000 9.611
Li Pb Br
2 4 10
direct
0.124 0.876 0.750
0.876 0.124 0.250
0.000 0.500 0.000
0.500 0.000 0.500
0.500 0.500 0.000
0.500 0.500 0.500
0.197 0.688 0.894
0.203 0.204 0.907
0.204 0.203 0.407
0.312 0.803 0.606
0.373 0.627 0.250
0.627 0.373 0.750
0.688 0.197 0.394
0.796 0.797 0.593
0.797 0.796 0.093
0.803 0.312 0.106
```

***

Record 2
Material: LiPb2Br
Method: DFT, PBE
State: optimized geometry

Raw total energy = -2.744 eV per atom
Energy relative to the elements, uncorrected = 0.01 eV per atom
Offset from the most stable computed form = 14.34 kcal/mol of atoms

POSCAR file:
```
LiPb2Br
1.0
7.641 0.000 0.000
0.000 7.641 0.000
0.000 0.000 7.641
Li Pb Br
4 8 4
direct
0.000 0.000 0.000
0.000 0.500 0.500
0.500 0.000 0.500
0.500 0.500 0.000
0.250 0.250 0.250
0.250 0.250 0.750
0.250 0.750 0.250
0.250 0.750 0.750
0.750 0.250 0.250
0.750 0.250 0.750
0.750 0.750 0.250
0.750 0.750 0.750
0.000 0.000 0.500
0.000 0.500 0.000
0.500 0.000 0.000
0.500 0.500 0.500
```

***

Record 3
Material: Li3PbBr
Method: DFT, PBE
State: optimized geometry

Raw total energy = -2.326 eV per atom
Energy relative to the elements, uncorrected = -0.10 eV per atom
Offset from the most stable computed form = 9.38 kcal/mol of atoms

POSCAR file:
```
Li3PbBr
1.0
5.409 0.000 0.000
0.000 5.409 0.000
0.000 0.000 5.409
Li Pb Br
3 1 1
direct
0.000 0.000 0.500
0.000 0.500 0.000
0.500 0.000 0.000
0.000 0.000 0.000
0.500 0.500 0.500
```

***

Record 4
Material: LiPbBr
Method: DFT, PBE
State: optimized geometry

Raw total energy = -3.076 eV per atom
Energy relative to the elements, uncorrected = -0.64 eV per atom
Offset from the most stable computed form = 6.50 kcal/mol of atoms

POSCAR file:
```
LiPbBr
1.0
3.689 0.000 0.000
-1.844 3.195 0.000
0.000 0.000 7.165
Li Pb Br
1 1 1
direct
0.000 0.000 0.000
0.667 0.333 0.411
0.333 0.667 0.835
```